Th8PRh3Se4 | GGA-PBE | optimized geometry

Output
electronic total energy: -7.5844 eV/atom
E_form (uncorrected): -1.29 eV per atom
magnetic moment: 0.00 μB per formula unit

```
data_Th8PRh3Se4
_chemical_formula_sum 'Th24 P3 Rh9 Se12'
_cell_length_a 8.2776
_cell_length_b 8.2776
_cell_length_c 21.3798
_cell_angle_alpha 90.00
_cell_angle_beta 90.00
_cell_angle_gamma 120.00
_space_group_name_H-M_alt 'R -3 m'
_space_group_IT_number 166
_space_group_name_Hall '-R 3 2"'
loop_
_atom_site_label
_atom_site_fract_x
_atom_site_fract_y
_atom_site_fract_z
Th1 0.0000 0.0000 0.2394
Th2 0.0016 0.5008 0.7567
P1 0.0000 0.0000 0.5000
Rh1 0.0000 0.5000 0.5000
Se1 0.0000 0.0000 0.0000
Se2 0.0000 0.5000 0.0000
```